Record 1
Material: K2MgCd
Method: DFT, PBE
State: relaxed

Summary:
formation enthalpy at 0 K = 0.5 eV per formula unit

Cell: 6.6425 6.6425 3.8425 Å, 90.38 90.38 109.73°
Sites, in units of the cell vectors:
K: 0.0000 0.5000 0.0000
K: 0.5000 0.0000 0.0000
Mg: 0.0000 0.0000 0.5000
Cd: 0.5000 0.5000 0.5000

---

Record 2
Material: K2MgCd
Method: DFT, PBE
State: relaxed

Summary:
formation enthalpy at 0 K = 0.6 eV per formula unit

Cell: 6.1619 6.1619 6.1619 Å, 60.00 60.00 60.00°
Sites, in units of the cell vectors:
K: 0.2500 0.2500 0.2500
K: 0.7500 0.7500 0.7500
Mg: 0.0000 0.0000 0.0000
Cd: 0.5000 0.5000 0.5000

---

Record 3
Material: K2MgCdN
Method: DFT, PBE
State: relaxed

Summary:
formation energy without anion corrections = 1.15 eV per formula unit

Cell: 6.6543 6.6543 3.8042 Å, 90.00 90.00 90.00°
Sites, in units of the cell vectors:
K: 0.0000 0.5000 0.0000
K: 0.5000 0.0000 0.0000
Mg: 0.0000 0.0000 0.0000
Cd: 0.5000 0.5000 0.5000
N: 0.0000 0.0000 0.5000

---

Record 4
Material: KNa2MgCd
Method: DFT, PBE
State: relaxed

Summary:
formation enthalpy at 0 K = 0.7 eV per formula unit

Cell: 6.1121 6.1121 5.4745 Å, 90.00 90.00 90.00°
Sites, in units of the cell vectors:
K: 0.0000 0.0000 0.0000
Na: 0.0000 0.5000 0.5000
Na: 0.5000 0.0000 0.5000
Mg: 0.5000 0.5000 0.5000
Cd: 0.5000 0.5000 0.0000

---

| no. | DFT total energy (eV/atom) | D(E_F) (states/eV/f.u.) |
| --- | --- | --- |
| 1 | -1.042 | 2.14 |
| 2 | -1.037 | 3.36 |
| 3 | -2.377 | 1.75 |
| 4 | -1.111 | 2.69 |